Entry from the Alexandria database: a geometry-optimized Ca2ErInSe5 structure (PBE-GGA).

Uncorrected energy in eV per atom: -4.70
Raw formation energy in eV per atom: -1.507

Unit cell a=4.0999 b=9.1536 c=12.9894 alpha=90.00 beta=90.00 gamma=102.94
Fractional positions:
Se (0.9491, 0.8982, 0.5663)
Se (0.6325, 0.2649, 0.4996)
Se (0.5073, 0.0146, 0.2626)
Se (0.6906, 0.3812, 0.8708)
Se (0.4927, 0.9854, 0.7626)
Se (0.0509, 0.1018, 0.0663)
Se (0.7175, 0.4350, 0.1737)
Se (0.3094, 0.6188, 0.3708)
Se (0.3675, 0.7351, 0.9996)
Se (0.2825, 0.5650, 0.6737)
In (0.5464, 0.0928, 0.9429)
In (0.4536, 0.9072, 0.4429)
Ca (0.8887, 0.7773, 0.1711)
Ca (0.1113, 0.2227, 0.6711)
Ca (0.8640, 0.7280, 0.8140)
Ca (0.1360, 0.2720, 0.3140)
Er (0.2137, 0.4273, 0.0229)
Er (0.7863, 0.5727, 0.5229)